Ba2CuPb | PBE-GGA | optimized geometry

Properties
The final energy comes out at -0.110 hartree per atom. The value obtained for the calculated volume is 43.08 A^3/atom. The calculated formation energy comes out at -0.3 eV per formula unit.

Lattice parameters (Å, degrees): 4.416 5.538 7.045 90.00 90.00 90.00
Element x y z (fractional)
Ba: 0.000 0.000 0.875
Cu: 0.000 0.000 0.374
Pb: 0.500 0.500 0.876
Ba: 0.500 0.500 0.376